Material: GaCoAu
Method: DFT, GGA-PBE
State: relaxed

Calculated values
- Energy above the most stable polymorph in this dataset: 0.013 eV per atom

a b c (Å): 2.9455 2.9455 9.9471
angles (deg): 90.00 90.00 90.00
Space group I4mm (No. 107)
Inequivalent atoms, fractional coordinates:
Ga: 0.0000 0.0000 0.0000
Co: 0.0000 0.0000 0.6247
Au: 0.0000 0.0000 0.3100

***

Material: AcLaPmPb
Method: DFT, GGA-PBE
State: relaxed

a b c (Å): 8.1538 8.1538 8.1538
angles (deg): 90.00 90.00 90.00
Space group F-43m (No. 216)
Inequivalent atoms, fractional coordinates:
Ac: 0.0000 0.0000 0.0000
La: 0.2500 0.2500 0.7500
Pm: 0.2500 0.2500 0.2500
Pb: 0.0000 0.0000 0.5000

***

Energy relative to the elements across the listed records, respectively: -17.5; -142.0 meV/atom.